## SbP2Ir (meta-GGA SCAN)

Data for SbP2Ir at its PBEsol-relaxed geometry.

Calculated values
ΔE_f (raw): 0.0481 eV per atom
electronic total energy: -128.96 eV for the cell shown
Fermi-level density of states: 1.9 states/eV per cell
calculated density: 8.99 g/cm3

Cell lengths 3.7285, 3.7285, 6.1571 Å; angles 72.38, 72.38, 60.00 degrees
Fractional coordinates of all 4 atoms:
Ir 0.5000 0.5000 0.5000
Sb 0.0000 0.0000 0.0000
P 0.2311 0.2311 0.3068
P 0.7689 0.7689 0.6932

## Te2RuNO (meta-GGA SCAN)

Data for Te2RuNO at its PBEsol-relaxed geometry.

Calculated values
ΔE_f (raw): 1.2596 eV per atom
electronic total energy: -118.55 eV for the cell shown
Fermi-level density of states: 3.0 states/eV per cell
calculated density: 8.49 g/cm3

Cell lengths 3.5363, 4.6218, 4.6218 Å; angles 90.00, 90.00, 90.00 degrees
Fractional coordinates of all 5 atoms:
Te 0.0000 0.5000 0.0000
Te 0.0000 0.0000 0.5000
O 0.0000 0.0000 0.0000
Ru 0.5000 0.5000 0.5000
N 0.5000 0.0000 0.0000

What is the calculated density in the first record?
8.99 g/cm3

What is the formula in the second record?
Te2RuNO

Which formula does entry 1 have?
SbP2Ir

calculated density of number 1 (SbP2Ir)?
8.99 g/cm3